[1]
The following is a PBE calculation of a relaxed CdPd4O8 crystal, from Alexandria.

Computed properties:
E_tot = -5.136 eV per atom
Total magnetization = 0.00 μB per formula unit
Space group = F-43m (216)
Formation energy (no corrections) = -0.4168 eV/atom

Cell: 6.3347 6.3347 6.3347 Å, 60.00 60.00 60.00°
Fractional positions:
Cd 0.7500 0.7500 0.7500
Pd 0.8816 0.3728 0.3728
Pd 0.3728 0.8816 0.3728
Pd 0.3728 0.3728 0.8816
Pd 0.3728 0.3728 0.3728
O 0.5691 0.1436 0.1436
O 0.1436 0.5691 0.1436
O 0.1436 0.1436 0.5691
O 0.1436 0.1436 0.1436
O 0.1814 0.6062 0.6062
O 0.6062 0.1814 0.6062
O 0.6062 0.6062 0.1814
O 0.6062 0.6062 0.6062

[2]
The following is a PBE calculation of a relaxed LiCuP3O9 crystal, from Alexandria.

Computed properties:
E_tot = -6.668 eV per atom
Total magnetization = 1.00 μB per formula unit
Space group = Pnma (62)
Formation energy (no corrections) = -1.8916 eV/atom

Cell: 7.0717 9.2036 13.0460 Å, 90.00 90.00 90.00°
Each line ends with the local moment (μB).
Fractional positions:
Li 0.2500 0.0701 0.9603  0.00
Li 0.2500 0.5701 0.5397  0.00
Li 0.7500 0.9299 0.0397  0.00
Li 0.7500 0.4299 0.4603  0.00
Cu 0.2500 0.0098 0.7629  0.69
Cu 0.2500 0.5098 0.7371  0.69
Cu 0.7500 0.4902 0.2629  0.69
Cu 0.7500 0.9902 0.2371  0.69
P 0.4599 0.7338 0.1632  0.01
P 0.4599 0.2338 0.3368  0.01
P 0.2500 0.2099 0.5245  0.00
P 0.2500 0.7099 0.9755  0.00
P 0.0401 0.2338 0.3368  0.01
P 0.0401 0.7338 0.1632  0.01
P 0.9599 0.2662 0.8368  0.01
P 0.9599 0.7662 0.6632  0.01
P 0.7500 0.2901 0.0245  0.00
P 0.7500 0.7901 0.4755  0.00
P 0.5401 0.2662 0.8368  0.01
P 0.5401 0.7662 0.6632  0.01
O 0.4601 0.8769 0.7347  0.06
O 0.4601 0.3769 0.7653  0.06
O 0.4348 0.6240 0.6482  0.06
O 0.4348 0.1240 0.8518  0.06
O 0.4267 0.1644 0.4483  0.01
O 0.4267 0.6644 0.0517  0.01
O 0.2500 0.7743 0.2029  0.02
O 0.2500 0.1100 0.6130  0.00
O 0.2500 0.6100 0.8870  0.00
O 0.2500 0.3715 0.5353  0.00
O 0.2500 0.2743 0.2971  0.02
O 0.2500 0.8715 0.9647  0.00
O 0.0733 0.1644 0.4483  0.01
O 0.0733 0.6644 0.0517  0.01
O 0.0652 0.6240 0.6482  0.06
O 0.0652 0.1240 0.8518  0.06
O 0.0399 0.8769 0.7347  0.06
O 0.0399 0.3769 0.7653  0.06
O 0.9601 0.6231 0.2347  0.06
O 0.9601 0.1231 0.2653  0.06
O 0.9348 0.3760 0.3518  0.06
O 0.9348 0.8760 0.1482  0.06
O 0.9267 0.3356 0.9483  0.01
O 0.9267 0.8356 0.5517  0.01
O 0.7500 0.6285 0.4647  0.00
O 0.7500 0.8900 0.3870  0.00
O 0.7500 0.1285 0.0353  0.00
O 0.7500 0.3900 0.1130  0.00
O 0.7500 0.2257 0.7971  0.02
O 0.7500 0.7257 0.7029  0.02
O 0.5733 0.3356 0.9483  0.01
O 0.5733 0.8356 0.5517  0.01
O 0.5652 0.8760 0.1482  0.06
O 0.5652 0.3760 0.3518  0.06
O 0.5399 0.1231 0.2653  0.06
O 0.5399 0.6231 0.2347  0.06

[3]
The following is a PBE calculation of a relaxed MnZnCo2 crystal, from Alexandria.

Computed properties:
E_tot = -6.131 eV per atom
Total magnetization = 4.58 μB per formula unit
Space group = P4/mmm (123)
Energy of formation = 0.033 eV/atom

Cell: 4.0444 4.0444 2.8635 Å, 90.00 90.00 89.99°
Each line ends with the local moment (μB).
Fractional positions:
Zn 0.0000 0.5000 0.5000  -0.07
Mn 0.5000 0.0000 0.5000  2.73
Co 0.0000 0.0000 0.0000  0.97
Co 0.5000 0.5000 0.0000  0.97

[4]
The following is a PBE calculation of a relaxed ZnIn2CoSn crystal, from Alexandria.

Computed properties:
E_tot = -3.462 eV per atom
Total magnetization = 0.00 μB per formula unit
Space group = P4/mmm (123)
Energy of formation = 0.110 eV/atom

Cell: 4.9857 4.9857 4.8361 Å, 90.00 90.00 90.00°
Fractional positions:
Zn 0.5000 0.5000 0.5000
Co 0.0000 0.0000 0.0000
Sn 0.0000 0.0000 0.5000
In 0.0000 0.5000 0.0000
In 0.5000 0.0000 0.0000

[5]
The following is a PBE calculation of a relaxed PrMnV2 crystal, from Alexandria.

Computed properties:
E_tot = -7.755 eV per atom
Total magnetization = 0.00 μB per formula unit
Space group = R-3m (166)
Energy of formation = 0.292 eV/atom

Cell: 3.8537 3.8537 6.3277 Å, 72.27 72.27 60.00°
Fractional positions:
Pr 0.0000 0.0000 0.0000
Mn 0.5000 0.5000 0.5000
V 0.7920 0.7920 0.6239
V 0.2080 0.2080 0.3761

[6]
The following is a PBE calculation of a relaxed CuPbW2 crystal, from Alexandria.

Computed properties:
E_tot = -7.594 eV per atom
Total magnetization = 0.00 μB per formula unit
Space group = I-4m2 (119)
Energy of formation = 0.834 eV/atom

Cell: 4.8990 4.8990 4.8990 Å, 129.47 129.47 74.26°
Fractional positions:
Cu 0.5000 0.5000 0.0000
Pb 0.7500 0.2500 0.5000
W 0.0000 0.0000 0.0000
W 0.2500 0.7500 0.5000

[7]
The following is a PBE calculation of a relaxed NiHg2P crystal, from Alexandria.

Computed properties:
E_tot = -2.833 eV per atom
Total magnetization = 0.00 μB per formula unit
Space group = Cm (8)
Energy of formation = 0.116 eV/atom

Cell: 5.0764 5.0764 5.9368 Å, 72.26 72.26 34.70°
Fractional positions:
Ni 0.5530 0.5530 0.5710
Hg 0.9993 0.9993 0.9883
Hg 0.8076 0.8076 0.6417
P 0.1401 0.1401 0.2990

[8]
The following is a PBE calculation of a relaxed CeLuHf2 crystal, from Alexandria.

Computed properties:
E_tot = -7.327 eV per atom
Total magnetization = 0.00 μB per formula unit
Space group = R-3m (166)
Energy of formation = 0.263 eV/atom

Cell: 5.1209 5.1209 5.3853 Å, 61.61 61.61 60.00°
Fractional positions:
Lu 0.5000 0.5000 0.5000
Hf 0.7267 0.7267 0.8199
Hf 0.2733 0.2733 0.1801
Ce 0.0000 0.0000 0.0000

[9]
The following is a PBE calculation of a relaxed ZnAg2Mo crystal, from Alexandria.

Computed properties:
E_tot = -4.266 eV per atom
Total magnetization = 0.00 μB per formula unit
Space group = Cmm2 (35)
Energy of formation = 0.186 eV/atom

Cell: 2.7750 2.7750 8.4461 Å, 90.00 90.00 90.12°
Fractional positions:
Ag 0.0000 0.0000 0.9876
Ag 0.5000 0.5000 0.2540
Mo 0.0000 0.0000 0.5133
Zn 0.5000 0.5000 0.7451

[10]
The following is a PBE calculation of a relaxed LiRe2Pt crystal, from Alexandria.

Computed properties:
E_tot = -8.262 eV per atom
Total magnetization = 0.00 μB per formula unit
Space group = R3m (160)
Energy of formation = -0.049 eV/atom

Cell: 9.1889 9.1889 9.1889 Å, 17.31 17.31 17.31°
Fractional positions:
Li 0.4971 0.4971 0.4971
Pt 0.7521 0.7521 0.7521
Re 0.9974 0.9974 0.9974
Re 0.2535 0.2535 0.2535

[11]
The following is a PBE calculation of a relaxed Pm8Ho5Tm crystal, from Alexandria.

Computed properties:
E_tot = -4.412 eV per atom
Total magnetization = 0.00 μB per formula unit
Space group = I-4 (82)
Energy of formation = 0.257 eV/atom

Cell: 8.5262 8.5317 8.5262 Å, 110.95 106.49 110.99°
Fractional positions:
Pm 0.1648 0.7339 0.0755
Pm 0.9246 0.0890 0.6580
Pm 0.7330 0.2584 0.3375
Pm 0.6626 0.3955 0.9208
Pm 0.5253 0.6045 0.2671
Pm 0.5690 0.9110 0.8356
Pm 0.3416 0.2661 0.4309
Pm 0.0791 0.7416 0.4746
Ho 0.0336 0.3135 0.1309
Ho 0.8689 0.9026 0.1823
Ho 0.8174 0.6865 0.7201
Ho 0.5001 0.0000 0.5001
Ho 0.2797 0.0974 0.9664
Tm 0.2501 0.5000 0.7501

[12]
The following is a PBE calculation of a relaxed CuSeBrN2 crystal, from Alexandria.

Computed properties:
E_tot = -3.103 eV per atom
Total magnetization = 0.60 μB per formula unit
Space group = P4/mmm (123)
Formation energy (no corrections) = 2.0774 eV/atom

Cell: 3.7237 3.7237 7.1543 Å, 90.00 90.00 90.00°
Each line ends with the local moment (μB).
Fractional positions:
Cu 0.5000 0.5000 0.5000  -0.01
Se 0.0000 0.0000 0.5000  -0.03
Br 0.0000 0.0000 0.0000  0.00
N 0.0000 0.5000 0.0000  0.24
N 0.5000 0.0000 0.0000  0.24

[13]
The following is a PBE calculation of a relaxed NaSr3Se crystal, from Alexandria.

Computed properties:
E_tot = -1.797 eV per atom
Total magnetization = 0.00 μB per formula unit
Space group = Pm-3m (221)
Formation energy (no corrections) = 0.1728 eV/atom

Cell: 6.2398 6.2398 6.2398 Å, 90.00 90.00 90.00°
Fractional positions:
Sr 0.0000 0.5000 0.0000
Sr 0.0000 0.0000 0.5000
Sr 0.5000 0.0000 0.0000
Se 0.5000 0.5000 0.5000
Na 0.0000 0.0000 0.0000

[14]
The following is a PBE calculation of a relaxed YTl2Ni crystal, from Alexandria.

Computed properties:
E_tot = -4.102 eV per atom
Total magnetization = 0.00 μB per formula unit
Space group = I-42d (122)
Energy of formation = 0.143 eV/atom

Cell: 4.3224 4.3224 11.1124 Å, 78.79 78.79 90.00°
Fractional positions:
Y 0.0000 0.0000 0.0000
Y 0.7500 0.2500 0.5000
Ni 0.5000 0.5000 0.0000
Ni 0.2500 0.7500 0.5000
Tl 0.6066 0.1250 0.2500
Tl 0.1434 0.6250 0.2500
Tl 0.3750 0.3934 0.7500
Tl 0.8750 0.8566 0.7500

[15]
The following is a PBE calculation of a relaxed Ac3Sc4Sn4 crystal, from Alexandria.

Computed properties:
E_tot = -5.362 eV per atom
Total magnetization = 0.00 μB per formula unit
Space group = I-43m (217)
Energy of formation = -0.483 eV/atom

Cell: 7.6905 7.6905 7.6905 Å, 109.47 109.47 109.47°
Fractional positions:
Ac 0.5000 0.5000 0.0000
Ac 0.5000 0.0000 0.5000
Ac 0.0000 0.5000 0.5000
Sc 0.0000 0.2470 0.0000
Sc 0.0000 0.0000 0.2470
Sc 0.2470 0.0000 0.0000
Sc 0.7530 0.7530 0.7530
Sn 0.0000 0.6134 0.0000
Sn 0.6134 0.0000 0.0000
Sn 0.0000 0.0000 0.6134
Sn 0.3866 0.3866 0.3866

[16]
The following is a PBE calculation of a relaxed La2InSnRu crystal, from Alexandria.

Computed properties:
E_tot = -5.602 eV per atom
Total magnetization = 0.00 μB per formula unit
Space group = P4/mmm (123)
Energy of formation = -0.428 eV/atom

Cell: 5.3575 5.3575 5.2178 Å, 90.00 90.00 90.00°
Fractional positions:
Ru 0.0000 0.0000 0.0000
In 0.0000 0.0000 0.5000
Sn 0.5000 0.5000 0.5000
La 0.0000 0.5000 0.0000
La 0.5000 0.0000 0.0000

[17]
The following is a PBE calculation of a relaxed Zr2AlAsOs crystal, from Alexandria.

Computed properties:
E_tot = -6.983 eV per atom
Total magnetization = 0.00 μB per formula unit
Space group = P4/mmm (123)
Energy of formation = 0.361 eV/atom

Cell: 5.1271 4.5909 5.1271 Å, 90.00 90.00 90.00°
Fractional positions:
As 0.0000 0.5000 0.0000
Os 0.0000 0.0000 0.0000
Al 0.5000 0.5000 0.5000
Zr 0.0000 0.0000 0.5000
Zr 0.5000 0.0000 0.0000

[18]
The following is a PBE calculation of a relaxed Mn2CuOs crystal, from Alexandria.

Computed properties:
E_tot = -8.116 eV per atom
Total magnetization = 6.27 μB per formula unit
Space group = Cmmm (65)
Energy of formation = 0.300 eV/atom

Cell: 2.6421 2.6421 8.3377 Å, 90.00 90.00 112.19°
Each line ends with the local moment (μB).
Fractional positions:
Cu 0.5000 0.5000 0.7500  0.14
Mn 0.0000 0.0000 0.9979  3.01
Mn 0.0000 0.0000 0.5021  3.01
Os 0.5000 0.5000 0.2500  -0.05

[19]
The following is a PBE calculation of a relaxed CuMo2HRu crystal, from Alexandria.

Computed properties:
E_tot = -7.484 eV per atom
Total magnetization = 0.00 μB per formula unit
Space group = P4/mmm (123)

Cell: 3.9324 3.9324 3.8812 Å, 90.00 90.00 90.00°
Fractional positions:
Ru 0.5000 0.5000 0.5000
Mo 0.0000 0.5000 0.0000
Mo 0.5000 0.0000 0.0000
Cu 0.0000 0.0000 0.5000
H 0.0000 0.0000 0.0000

[20]
The following is a PBE calculation of a relaxed BeBAs2Br crystal, from Alexandria.

Computed properties:
E_tot = -3.118 eV per atom
Total magnetization = 0.00 μB per formula unit
Space group = P4/mmm (123)
Formation energy (no corrections) = 1.1568 eV/atom

Cell: 4.4173 4.4173 4.6173 Å, 90.00 90.00 90.00°
Fractional positions:
Be 0.5000 0.5000 0.5000
As 0.0000 0.5000 0.0000
As 0.5000 0.0000 0.0000
B 0.0000 0.0000 0.0000
Br 0.0000 0.0000 0.5000

[21]
The following is a PBE calculation of a relaxed In10Ga3Hg3 crystal, from Alexandria.

Computed properties:
E_tot = -2.279 eV per atom
Total magnetization = 0.00 μB per formula unit
Space group = P-62m (189)
Energy of formation = 0.057 eV/atom

Cell: 6.0646 8.9041 8.9041 Å, 120.00 90.00 90.00°
Fractional positions:
In 0.2558 0.6667 0.3333
In 0.2558 0.3333 0.6667
In 0.7442 0.3333 0.6667
In 0.7442 0.6667 0.3333
In 0.5000 0.0000 0.7720
In 0.5000 0.7720 0.0000
In 0.5000 0.2280 0.2280
In 0.0000 0.0000 0.2243
In 0.0000 0.2243 0.0000
In 0.0000 0.7757 0.7757
Ga 0.5000 0.0000 0.3954
Ga 0.5000 0.3954 0.0000
Ga 0.5000 0.6046 0.6046
Hg 0.0000 0.0000 0.5907
Hg 0.0000 0.5907 0.0000
Hg 0.0000 0.4093 0.4093

[22]
The following is a PBE calculation of a relaxed PdPt3Rh3 crystal, from Alexandria.

Computed properties:
E_tot = -6.126 eV per atom
Total magnetization = 0.00 μB per formula unit
Space group = R3m (160)
Energy of formation = 0.355 eV/atom

Cell: 5.0386 5.0386 5.0386 Å, 104.25 104.25 104.25°
Fractional positions:
Pd 0.0642 0.0642 0.0642
Pt 0.5365 0.5365 0.1859
Pt 0.5365 0.1859 0.5365
Pt 0.1859 0.5365 0.5365
Rh 0.5240 0.9762 0.9762
Rh 0.9762 0.9762 0.5240
Rh 0.9762 0.5240 0.9762

[23]
The following is a PBE calculation of a relaxed Ta2OsSe crystal, from Alexandria.

Computed properties:
E_tot = -9.499 eV per atom
Total magnetization = 0.00 μB per formula unit
Space group = R-3m (166)
Formation energy (no corrections) = 0.1055 eV/atom

Cell: 8.4361 8.4361 8.4361 Å, 21.17 21.17 21.17°
Fractional positions:
Os 0.2500 0.2500 0.2500
Se 0.7500 0.7500 0.7500
Ta 0.0000 0.0000 0.0000
Ta 0.5000 0.5000 0.5000

[24]
The following is a PBE calculation of a relaxed NaNpAsO5 crystal, from Alexandria.

Computed properties:
E_tot = -7.546 eV per atom
Total magnetization = 1.00 μB per formula unit
Space group = C2/c (15)
Formation energy (no corrections) = -2.0832 eV/atom

Cell: 6.1424 6.1424 8.5074 Å, 109.55 109.55 96.33°
Each line ends with the local moment (μB).
Fractional positions:
Na 0.3143 0.6857 0.2500  0.00
Na 0.6857 0.3143 0.7500  0.00
Np 0.0000 0.0000 0.5000  1.19
Np 0.0000 0.0000 0.0000  1.19
As 0.6634 0.3366 0.2500  -0.01
As 0.3366 0.6634 0.7500  -0.01
O 0.0006 0.9994 0.2500  -0.06
O 0.9994 0.0006 0.7500  -0.06
O 0.8349 0.2460 0.0139  -0.05
O 0.1651 0.7540 0.9861  -0.05
O 0.7540 0.1651 0.4861  -0.05
O 0.2460 0.8349 0.5139  -0.05
O 0.7179 0.6483 0.3472  -0.02
O 0.2821 0.3517 0.6528  -0.02
O 0.3517 0.2821 0.1528  -0.02
O 0.6483 0.7179 0.8472  -0.02